AcGaSb after structural relaxation. Source: Alexandria via LeMat-Bulk, functional PBE-GGA.

Lattice parameters (Å, degrees): 4.3154 4.9165 4.9165 120.00 90.00 90.00
Closest atoms and distances in Å follow each position.
Fractional positions:
1 Sb 0.8330 0.3333 0.6667  3 Ga 2.84
2 Ac 0.3331 0.6667 0.3333  6 Ga 3.56-3.57, 6 Sb 3.57
3 Ga 0.8340 0.0000 0.0000  3 Sb 2.84

Summary:
Uncorrected formation energy ... -0.645 eV/atom
Space-group type ... P-6m2

Np4Ag2S9 after structural relaxation. Source: Alexandria via LeMat-Bulk, functional PBE-GGA.

Lattice parameters (Å, degrees): 6.7496 6.7530 18.7215 90.03 90.02 59.74
Closest atoms and distances in Å follow each position.
Fractional positions:
1 S 0.3208 0.6818 0.7504  2 Np 2.63-2.64, 2 Ag 2.78-2.80
2 Np 0.3307 0.3369 0.6821  6 S 2.62-2.78
3 S 0.9658 0.3643 0.4207  3 Np 2.67-2.78, 1 Ag 2.76
4 Ag 0.9983 0.0021 0.8436  6 S 2.75-2.81
5 Np 0.6661 0.6664 0.5153  6 S 2.67-2.69
6 S 0.6718 0.3679 0.9212  3 Np 2.66-2.74, 1 Ag 2.75
7 S 0.3321 0.0370 0.5799  3 Np 2.67-2.78, 1 Ag 2.77
8 Np 0.3339 0.3336 0.4847  6 S 2.67-2.69
9 S 0.0406 0.3279 0.0786  3 Np 2.66-2.74, 1 Ag 2.78
10 S 0.9594 0.6721 0.9214  3 Np 2.66-2.74, 1 Ag 2.78
11 S 0.6792 0.3182 0.2496  2 Np 2.63-2.64, 2 Ag 2.78-2.80
12 S 0.0053 0.6714 0.2502  2 Np 2.62-2.63, 2 Ag 2.81-2.82
13 Np 0.6662 0.6664 0.0181  6 S 2.66-2.70
14 S 0.6361 0.0380 0.0780  3 Np 2.66-2.74, 1 Ag 2.76
15 S 0.0342 0.6357 0.5793  3 Np 2.67-2.78, 1 Ag 2.76
16 Ag 0.9986 0.0017 0.6554  6 S 2.74-2.84
17 Ag 0.0017 0.9979 0.1564  6 S 2.75-2.81
18 Np 0.6693 0.6631 0.3179  6 S 2.62-2.78
19 Np 0.3364 0.3304 0.1783  6 S 2.63-2.74
20 S 0.3264 0.9979 0.2486  2 Np 2.62-2.63, 2 Ag 2.79-2.84
21 S 0.3674 0.6680 0.4200  3 Np 2.67-2.78, 1 Ag 2.74
22 S 0.3639 0.9620 0.9220  3 Np 2.66-2.74, 1 Ag 2.76
23 Np 0.3338 0.3336 0.9819  6 S 2.66-2.70
24 S 0.6679 0.9630 0.4201  3 Np 2.67-2.78, 1 Ag 2.77
25 S 0.6326 0.3320 0.5800  3 Np 2.67-2.78, 1 Ag 2.74
26 S 0.6736 0.0021 0.7514  2 Np 2.62-2.63, 2 Ag 2.79-2.84
27 Np 0.6636 0.6696 0.8217  6 S 2.63-2.74
28 S 0.3282 0.6321 0.0788  3 Np 2.66-2.74, 1 Ag 2.75
29 S 0.9947 0.3286 0.7498  2 Np 2.62-2.63, 2 Ag 2.81-2.82
30 Ag 0.0014 0.9983 0.3446  6 S 2.74-2.84

Summary:
Uncorrected formation energy ... -0.937 eV/atom
Space-group type ... P-1

MgIn5Hg8 after structural relaxation. Source: Alexandria via LeMat-Bulk, functional PBE-GGA.

Lattice parameters (Å, degrees): 7.8218 7.8218 7.8218 109.18 110.06 109.18
Closest atoms and distances in Å follow each position.
Fractional positions:
1 In 0.7469 0.6452 0.6185  8 Hg 3.06-3.36
2 Hg 0.7972 0.2640 0.4012  1 Mg 3.03, 5 In 3.06-3.36, 2 Hg 3.27-3.31
3 Mg 0.2500 0.5000 0.7500  8 Hg 2.96-3.03
4 In 0.9733 0.3548 0.1017  8 Hg 3.06-3.36
5 In 0.8983 0.8717 0.2531  8 Hg 3.06-3.36
6 Hg 0.9907 0.1062 0.7197  1 Mg 2.96, 5 In 3.06-3.29, 1 Hg 3.27
7 Hg 0.1155 0.7290 0.0093  1 Mg 2.96, 5 In 3.06-3.29, 1 Hg 3.27
8 Hg 0.4669 0.6040 0.2028  1 Mg 3.03, 5 In 3.06-3.36, 2 Hg 3.27-3.31
9 Hg 0.2803 0.2710 0.3865  1 Mg 2.96, 5 In 3.06-3.29, 1 Hg 3.27
10 Hg 0.6135 0.8938 0.8845  1 Mg 2.96, 5 In 3.06-3.29, 1 Hg 3.27
11 Hg 0.5988 0.3960 0.8628  1 Mg 3.03, 5 In 3.06-3.36, 2 Hg 3.27-3.31
12 In 0.5000 0.0000 0.5000  8 Hg 3.06-3.29
13 Hg 0.1372 0.7360 0.5331  1 Mg 3.03, 5 In 3.06-3.36, 2 Hg 3.27-3.31
14 In 0.3815 0.1283 0.0267  8 Hg 3.06-3.36

Summary:
Energy relative to the elements ... -0.01 eV per atom
Space-group type ... I-4

Hf5Tc4Ag after structural relaxation. Source: Alexandria via LeMat-Bulk, functional PBE-GGA.

Lattice parameters (Å, degrees): 3.2860 3.2860 16.6602 90.00 90.00 90.00
Closest atoms and distances in Å follow each position.
Fractional positions:
1 Ag 0.0000 0.0000 0.0000  8 Hf 3.02, 4 Ag 3.29
2 Hf 0.5000 0.5000 0.1158  4 Tc 2.74, 4 Ag 3.02
3 Tc 0.0000 0.0000 0.2033  8 Hf 2.74-2.89
4 Hf 0.5000 0.5000 0.6940  8 Tc 2.82-2.89
5 Hf 0.5000 0.5000 0.3060  8 Tc 2.82-2.89
6 Tc 0.0000 0.0000 0.5983  8 Hf 2.82-2.84
7 Hf 0.5000 0.5000 0.8842  4 Tc 2.74, 4 Ag 3.02
8 Tc 0.0000 0.0000 0.4017  8 Hf 2.82-2.84
9 Hf 0.5000 0.5000 0.5000  8 Tc 2.84
10 Tc 0.0000 0.0000 0.7967  8 Hf 2.74-2.89

Summary:
Energy relative to the elements ... -0.43 eV per atom
Space-group type ... P4/mmm

Pm3Nd2TmSb6 after structural relaxation. Source: Alexandria via LeMat-Bulk, functional PBE-GGA.

Lattice parameters (Å, degrees): 4.4805 8.9539 10.0119 102.94 102.93 90.00
Closest atoms and distances in Å follow each position.
Fractional positions:
1 Sb 0.6636 0.0800 0.3271  1 Tm 3.11, 3 Pm 3.16-3.20, 2 Nd 3.17
2 Pm 0.8319 0.1661 0.6638  6 Sb 3.16-3.20
3 Sb 0.0014 0.7579 0.0028  2 Tm 3.12, 3 Pm 3.17-3.21, 1 Nd 3.17
4 Sb 0.9986 0.2421 0.9972  2 Tm 3.12, 3 Pm 3.17-3.21, 1 Nd 3.17
5 Sb 0.3364 0.9200 0.6729  1 Tm 3.11, 3 Pm 3.16-3.20, 2 Nd 3.17
6 Nd 0.1656 0.3322 0.3312  6 Sb 3.17-3.19
7 Sb 0.6664 0.5843 0.3329  3 Pm 3.16, 3 Nd 3.18-3.19
8 Pm 0.5000 0.5000 0.0000  6 Sb 3.16-3.21
9 Pm 0.1681 0.8339 0.3362  6 Sb 3.16-3.20
10 Sb 0.3336 0.4157 0.6671  3 Pm 3.16, 3 Nd 3.18-3.19
11 Nd 0.8344 0.6678 0.6688  6 Sb 3.17-3.19
12 Tm 0.5000 0.0000 0.0000  6 Sb 3.11-3.12

Summary:
Uncorrected formation energy ... -1.162 eV/atom
Space-group type ... C2/m

Nd3Er2Tm8 after structural relaxation. Source: Alexandria via LeMat-Bulk, functional PBE-GGA.

Lattice parameters (Å, degrees): 6.1276 6.1265 12.7233 85.28 118.63 80.41
Closest atoms and distances in Å follow each position.
Fractional positions:
1 Tm 0.1595 0.9228 0.3116  7 Tm 3.46-3.54, 3 Er 3.50-3.52, 2 Nd 3.55-3.57
2 Nd 0.5411 0.2310 0.0795  8 Tm 3.53-3.60, 4 Nd 3.55-3.58
3 Nd 0.4589 0.7690 0.9205  8 Tm 3.53-3.60, 4 Nd 3.55-3.58
4 Tm 0.9169 0.5375 0.8416  1 Er 3.49, 6 Tm 3.52-3.62, 5 Nd 3.54-3.59
5 Tm 0.3051 0.8465 0.6129  7 Tm 3.46-3.54, 4 Er 3.52-3.54, 1 Nd 3.53
6 Er 0.7681 0.6154 0.5377  10 Tm 3.47-3.54, 2 Er 3.53
7 Tm 0.6230 0.6914 0.2357  2 Er 3.47-3.50, 6 Tm 3.52-3.54, 4 Nd 3.54-3.60
8 Tm 0.0831 0.4625 0.1584  1 Er 3.49, 6 Tm 3.52-3.62, 5 Nd 3.54-3.59
9 Tm 0.3770 0.3086 0.7643  2 Er 3.47-3.50, 6 Tm 3.52-3.54, 4 Nd 3.54-3.60
10 Tm 0.8405 0.0772 0.6884  7 Tm 3.46-3.54, 3 Er 3.50-3.52, 2 Nd 3.55-3.57
11 Tm 0.6949 0.1535 0.3871  7 Tm 3.46-3.54, 4 Er 3.52-3.54, 1 Nd 3.53
12 Nd 0.0000 0.0000 0.0000  8 Tm 3.54-3.58, 4 Nd 3.55
13 Er 0.2319 0.3846 0.4623  10 Tm 3.47-3.54, 2 Er 3.53

Summary:
Energy relative to the elements ... 0.03 eV per atom
Space-group type ... P-1

| no. | calculated total energy (eV/f.u.) |
| --- | --- |
| 1 | -13.19 |
| 2 | -108.66 |
| 3 | -17.87 |
| 4 | -98.33 |
| 5 | -66.94 |
| 6 | -58.84 |